(1)
Crystalline Ni2Ag2Au at its relaxed geometry. Source: Alexandria, functional GGA-PBE.

abc: 7.509 7.509 2.774
angles: 90.00 90.00 90.00
Fractional coordinates of all 10 atoms:
Ni  0.165  0.665  0.500
Ni  0.835  0.335  0.500
Ni  0.335  0.165  0.500
Ni  0.665  0.835  0.500
Ag  0.367  0.867  0.000
Ag  0.133  0.367  0.000
Ag  0.633  0.133  0.000
Ag  0.867  0.633  0.000
Au  0.000  0.000  0.000
Au  0.500  0.500  0.000

Its formation energy is 0.373 eV/atom. The energy above the most stable polymorph in this dataset comes out at 61.3 meV per atom. The total magnetic moment is 0.00 Bohr magnetons per cell.


(2)
Crystalline NiAg2Au at its relaxed geometry. Source: Alexandria, functional GGA-PBE.

abc: 4.898 4.898 4.977
angles: 79.13 79.13 33.74
Fractional coordinates of all 4 atoms:
Ag  0.249  0.249  0.246
Ag  0.009  0.009  0.995
Au  0.489  0.489  0.517
Ni  0.752  0.752  0.742

Its formation energy is 0.136 eV/atom. The energy above the most stable polymorph in this dataset comes out at 41.0 meV per atom. The total magnetic moment is 0.00 Bohr magnetons per cell.


(3)
Crystalline NiAg2Au at its relaxed geometry. Source: Alexandria, functional GGA-PBE.

abc: 4.975 4.975 4.975
angles: 132.93 132.93 68.76
Fractional coordinates of all 4 atoms:
Ag  0.500  0.500  0.000
Ag  0.000  0.000  0.000
Ni  0.750  0.250  0.500
Au  0.250  0.750  0.500

Its formation energy is 0.135 eV/atom. The energy above the most stable polymorph in this dataset comes out at 39.7 meV per atom. The total magnetic moment is 0.00 Bohr magnetons per cell.


(4)
Crystalline NiAg2Au at its relaxed geometry. Source: Alexandria, functional GGA-PBE.

abc: 4.518 4.518 4.518
angles: 60.00 60.00 60.00
Fractional coordinates of all 4 atoms:
Ni  0.750  0.750  0.750
Au  0.500  0.500  0.500
Ag  0.250  0.250  0.250
Ag  0.000  0.000  0.000

Its formation energy is 0.160 eV/atom. The energy above the most stable polymorph in this dataset comes out at 65.2 meV per atom. The total magnetic moment is 0.00 Bohr magnetons per cell.


(5)
Crystalline Ni2Ag2Au at its relaxed geometry. Source: Alexandria, functional GGA-PBE.

abc: 3.750 3.750 6.475
angles: 73.16 73.16 90.00
Each line ends with the local moment (μB).
Fractional coordinates of all 5 atoms:
Ag  0.250  0.750  0.500  0.01
Ag  0.750  0.250  0.500  0.01
Ni  0.594  0.594  0.812  0.53
Ni  0.406  0.406  0.188  0.53
Au  0.000  0.000  0.000  0.02

Its formation energy is 0.510 eV/atom. The energy above the most stable polymorph in this dataset comes out at 198.4 meV per atom. The total magnetic moment is 1.05 Bohr magnetons per cell.


(6)
Crystalline NiAgAu4 at its relaxed geometry. Source: Alexandria, functional GGA-PBE.

abc: 5.445 5.445 5.445
angles: 60.00 60.00 60.00
Each line ends with the local moment (μB).
Fractional coordinates of all 6 atoms:
Au  0.375  0.375  0.375  0.01
Au  0.375  0.375  0.875  0.01
Au  0.875  0.375  0.375  0.01
Au  0.375  0.875  0.375  0.01
Ag  0.000  0.000  0.000  0.00
Ni  0.750  0.750  0.750  0.66

Its formation energy is 0.316 eV/atom. The energy above the most stable polymorph in this dataset comes out at 304.2 meV per atom. The total magnetic moment is 0.67 Bohr magnetons per cell.


(7)
Crystalline NiAg2Au at its relaxed geometry. Source: Alexandria, functional GGA-PBE.

abc: 4.987 4.987 4.866
angles: 78.61 78.61 33.10
Fractional coordinates of all 4 atoms:
Ni  0.750  0.750  0.750
Au  0.250  0.250  0.250
Ag  0.491  0.491  0.510
Ag  0.009  0.009  0.990

Its formation energy is 0.124 eV/atom. The energy above the most stable polymorph in this dataset comes out at 29.0 meV per atom. The total magnetic moment is 0.03 Bohr magnetons per cell.


(8)
Crystalline NiAg2Au at its relaxed geometry. Source: Alexandria, functional GGA-PBE.

abc: 5.402 5.402 5.402
angles: 147.43 128.83 61.98
Fractional coordinates of all 4 atoms:
Ag  0.748  0.248  0.500
Ag  0.017  0.017  0.000
Ni  0.253  0.753  0.500
Au  0.482  0.482  0.000

Its formation energy is 0.159 eV/atom. The energy above the most stable polymorph in this dataset comes out at 63.6 meV per atom. The total magnetic moment is 0.00 Bohr magnetons per cell.